A plane-wave DFT calculation with PBE-GGA was carried out for an optimized crystal structure of Pm7Cu2Pb2.

Calculated values
Volume   685.5 Å³ per cell
Calculated total energy   -4.52 eV per atom

a = 8.3265 Å, b = 11.6309 Å, c = 7.0787 Å
α = 90.00°, β = 90.00°, γ = 90.00°
Last column: nearest neighbours and their distance in Å.
Space group Cmmm (No. 65)
Asymmetric unit:
1 Pm 0.0000 0.0000 0.0000 (multiplicity 2)  2 Cu 3.34
2 Pm 0.0000 0.5000 0.2304 (multiplicity 4)  2 Cu 2.97, 1 Pm 3.26, 2 Pb 3.26
3 Pm 0.2500 0.2500 0.2568 (multiplicity 8)  2 Cu 2.80
4 Cu 0.0000 0.2870 0.0000 (multiplicity 4)  6 Pm 2.80-2.97
5 Pb 0.1823 0.0000 0.5000 (multiplicity 4)  1 Pb 3.04, 2 Pm 3.26

A plane-wave DFT calculation with PBE-GGA was carried out for an optimized crystal structure of Pm5CuPb4.

Calculated values
Volume   640.4 Å³ per cell
Calculated total energy   -4.56 eV per atom

a = 10.0025 Å, b = 10.0025 Å, c = 6.4003 Å
α = 90.00°, β = 90.00°, γ = 90.00°
Last column: nearest neighbours and their distance in Å.
Space group I4 (No. 79)
Asymmetric unit:
1 Pm 0.0000 0.0000 0.0000 (multiplicity 2)  2 Cu 3.18-3.22, 4 Pb 3.18
2 Pm 0.0962 0.7070 0.3982 (multiplicity 8)  1 Cu 3.16, 5 Pb 3.17-3.23
3 Cu 0.0000 0.0000 0.5034 (multiplicity 2)  6 Pm 3.16-3.22
4 Pb 0.0957 0.7045 0.8938 (multiplicity 8)  6 Pm 3.17-3.23

A plane-wave DFT calculation with PBE-GGA was carried out for an optimized crystal structure of Pm5Cu2Pb5.

Calculated values
Volume   667.8 Å³ per cell
Calculated total energy   -4.65 eV per atom

a = 16.5660 Å, b = 4.6177 Å, c = 11.3448 Å
α = 90.00°, β = 129.69°, γ = 90.00°
Last column: nearest neighbours and their distance in Å.
Space group C2/m (No. 12)
Asymmetric unit:
1 Pm 0.0000 0.0000 0.0000 (multiplicity 2)  4 Cu 3.17, 6 Pb 3.32-3.33
2 Pm 0.1113 0.0000 0.4187 (multiplicity 4)  7 Pb 3.20-3.46, 3 Cu 3.30-3.41
3 Pm 0.1925 0.0000 0.8251 (multiplicity 4)  5 Pb 3.26-3.34, 1 Cu 3.30
4 Cu 0.1395 0.5000 0.2394 (multiplicity 4)  3 Pb 2.73-2.77
5 Pb 0.0000 0.5000 0.5000 (multiplicity 2)  4 Pb 3.22-3.50, 4 Pm 3.43
6 Pb 0.0625 0.5000 0.8591 (multiplicity 4)  1 Cu 2.77
7 Pb 0.2504 0.0000 0.3136 (multiplicity 4)  2 Cu 2.73

A plane-wave DFT calculation with PBE-GGA was carried out for an optimized crystal structure of Pm6Cu2Pb.

Calculated values
Volume   1042.7 Å³ per cell
Calculated total energy   -4.69 eV per atom

a = 9.4401 Å, b = 10.2130 Å, c = 10.8148 Å
α = 90.00°, β = 90.00°, γ = 90.00°
Last column: nearest neighbours and their distance in Å.
Space group Immm (No. 71)
Asymmetric unit:
1 Pm 0.0000 0.1993 0.2316 (multiplicity 8)  1 Cu 2.98, 1 Pb 3.23
2 Pm 0.1936 0.5000 0.1801 (multiplicity 8)  3 Cu 2.86-3.04
3 Pm 0.2113 0.3106 0.5000 (multiplicity 8)  3 Cu 3.05-3.22, 1 Pb 3.34
4 Cu 0.0000 0.3573 0.0000 (multiplicity 4)  1 Cu 2.91, 8 Pm 2.98-3.22
5 Cu 0.0000 0.5000 0.3841 (multiplicity 4)  1 Cu 2.51
6 Pb 0.0000 0.0000 0.0000 (multiplicity 2)  8 Pm 3.23-3.34
7 Pb 0.0000 0.0000 0.5000 (multiplicity 2)  12 Pm 3.49-3.75

A plane-wave DFT calculation with PBE-GGA was carried out for an optimized crystal structure of PmPrCuPb.

Calculated values
Volume   439.0 Å³ per cell
Calculated total energy   -4.64 eV per atom

a = 7.5999 Å, b = 7.5999 Å, c = 7.5999 Å
α = 90.00°, β = 90.00°, γ = 90.00°
Last column: nearest neighbours and their distance in Å.
Space group F-43m (No. 216)
Asymmetric unit:
1 Pm 0.0000 0.0000 0.0000 (multiplicity 4)  4 Pb 3.29, 4 Cu 3.29
2 Pr 0.0000 0.0000 0.5000 (multiplicity 4)  4 Pb 3.29, 4 Cu 3.29
3 Cu 0.2500 0.2500 0.7500 (multiplicity 4)  4 Pr 3.29, 4 Pm 3.29
4 Pb 0.2500 0.2500 0.2500 (multiplicity 4)  4 Pr 3.29, 4 Pm 3.29

A plane-wave DFT calculation with PBE-GGA was carried out for an optimized crystal structure of PmCuPtPb.

Calculated values
Volume   339.7 Å³ per cell
Calculated total energy   -5.12 eV per atom

a = 6.9777 Å, b = 6.9777 Å, c = 6.9777 Å
α = 90.00°, β = 90.00°, γ = 90.00°
Last column: nearest neighbours and their distance in Å.
Space group F-43m (No. 216)
Asymmetric unit:
1 Pm 0.0000 0.0000 0.0000 (multiplicity 4)  4 Cu 3.02, 4 Pt 3.02
2 Cu 0.2500 0.2500 0.7500 (multiplicity 4)  4 Pb 3.02, 4 Pm 3.02
3 Pt 0.2500 0.2500 0.2500 (multiplicity 4)  4 Pb 3.02, 4 Pm 3.02
4 Pb 0.0000 0.0000 0.5000 (multiplicity 4)  4 Cu 3.02, 4 Pt 3.02

A plane-wave DFT calculation with PBE-GGA was carried out for an optimized crystal structure of PmPuCuPb.

Calculated values
Volume   421.6 Å³ per cell
Calculated total energy   -6.83 eV per atom

a = 7.4981 Å, b = 7.4981 Å, c = 7.4981 Å
α = 90.00°, β = 90.00°, γ = 90.00°
Last column: nearest neighbours and their distance in Å.
Space group F-43m (No. 216)
Asymmetric unit:
1 Pm 0.0000 0.0000 0.0000 (multiplicity 4)  4 Pb 3.25, 4 Cu 3.25
2 Pu 0.0000 0.0000 0.5000 (multiplicity 4)  4 Pb 3.25, 4 Cu 3.25
3 Cu 0.2500 0.2500 0.2500 (multiplicity 4)  4 Pm 3.25, 4 Pu 3.25
4 Pb 0.2500 0.2500 0.7500 (multiplicity 4)  4 Pm 3.25, 4 Pu 3.25

A plane-wave DFT calculation with PBE-GGA was carried out for an optimized crystal structure of PmCuRhPb.

Calculated values
Volume   325.6 Å³ per cell
Calculated total energy   -5.27 eV per atom

a = 6.8793 Å, b = 6.8793 Å, c = 6.8793 Å
α = 90.00°, β = 90.00°, γ = 90.00°
Last column: nearest neighbours and their distance in Å.
Space group F-43m (No. 216)
Asymmetric unit:
1 Pm 0.0000 0.0000 0.0000 (multiplicity 4)  4 Rh 2.98, 4 Cu 2.98
2 Cu 0.2500 0.2500 0.2500 (multiplicity 4)  4 Pb 2.98, 4 Pm 2.98
3 Rh 0.2500 0.2500 0.7500 (multiplicity 4)  4 Pb 2.98, 4 Pm 2.98
4 Pb 0.0000 0.0000 0.5000 (multiplicity 4)  4 Cu 2.98, 4 Rh 2.98